# PmUAs, relaxed, DFT PBE
# - Energy: -84.525 eV/cell
# - Energy above the most stable polymorph in this dataset: 0 meV per atom
data_PmUAs
_chemical_formula_sum 'Pm4 U4 As4'
_symmetry_space_group_name_H-M 'F -4 3 m'
_symmetry_Int_Tables_number 216
_symmetry_space_group_name_Hall 'F -4 2 3'
_cell_length_a 6.936
_cell_length_b 6.936
_cell_length_c 6.936
_cell_angle_alpha 90.00
_cell_angle_beta 90.00
_cell_angle_gamma 90.00
loop_
_atom_site_label
_atom_site_type_symbol
_atom_site_fract_x
_atom_site_fract_y
_atom_site_fract_z
Pm1 Pm 0.000 0.000 0.000
U1 U 0.000 0.000 0.500
As1 As 0.250 0.250 0.250